# PBE-GGA Ga3Pd2Pt7, relaxed
data_Ga3Pd2Pt7
_chemical_formula_sum 'Ga3 Pd2 Pt7'
_cell_length_a 4.703
_cell_length_b 2.852
_cell_length_c 14.114
_cell_angle_alpha 90.00
_cell_angle_beta 90.28
_cell_angle_gamma 90.00
_symmetry_space_group_name_H-M 'P 1 2/m 1'
_symmetry_Int_Tables_number 10
_symmetry_space_group_name_Hall '-P 2y'
loop_
_atom_site_label
_atom_site_fract_x
_atom_site_fract_y
_atom_site_fract_z
Ga1 0.000 0.000 0.000
Ga2 0.241 0.500 0.690
Pd1 0.245 0.000 0.341
Pt1 0.084 0.500 0.157
Pt2 0.251 0.000 0.543
Pt3 0.424 0.000 0.830
Pt4 0.500 0.500 0.000
# ΔE_f   -4.27 eV per formula unit

***

# PBE-GGA KBeGaBr4, relaxed
data_KBeGaBr4
_chemical_formula_sum 'K2 Be2 Ga2 Br8'
_cell_length_a 6.988
_cell_length_b 7.188
_cell_length_c 9.394
_cell_angle_alpha 90.00
_cell_angle_beta 105.22
_cell_angle_gamma 90.00
_symmetry_space_group_name_H-M 'P 1 21/m 1'
_symmetry_Int_Tables_number 11
_symmetry_space_group_name_Hall '-P 2yb'
loop_
_atom_site_label
_atom_site_fract_x
_atom_site_fract_y
_atom_site_fract_z
K1 0.221 0.250 0.036
Be1 0.200 0.750 0.776
Ga1 0.238 0.250 0.532
Br1 0.001 0.006 0.287
Br2 0.320 0.750 0.015
Br3 0.422 0.750 0.651
# Uncorrected formation energy   -1.10 eV per atom

***

# PBE-GGA Sr2CaZnO, relaxed
data_Sr2CaZnO
_chemical_formula_sum 'Sr2 Ca1 Zn1 O1'
_cell_length_a 5.322
_cell_length_b 5.322
_cell_length_c 4.664
_cell_angle_alpha 90.00
_cell_angle_beta 90.00
_cell_angle_gamma 90.00
_symmetry_space_group_name_H-M 'P 4/m m m'
_symmetry_Int_Tables_number 123
_symmetry_space_group_name_Hall '-P 4 2'
loop_
_atom_site_label
_atom_site_fract_x
_atom_site_fract_y
_atom_site_fract_z
Sr1 0.000 0.500 0.000
Ca1 0.000 0.000 0.500
Zn1 0.500 0.500 0.500
O1 0.000 0.000 0.000
# Uncorrected formation energy   -1.14 eV per atom

***

# PBE-GGA SrZn2H8Ir, relaxed
data_SrZn2H8Ir
_chemical_formula_sum 'Sr1 Zn2 H8 Ir1'
_cell_length_a 4.4295
_cell_length_b 4.4295
_cell_length_c 6.8151
_cell_angle_alpha 90.00
_cell_angle_beta 90.00
_cell_angle_gamma 120.00
_symmetry_space_group_name_H-M 'P -3 m 1'
_symmetry_Int_Tables_number 164
_symmetry_space_group_name_Hall '-P 3 2"'
loop_
_atom_site_label
_atom_site_fract_x
_atom_site_fract_y
_atom_site_fract_z
Sr1 0.0000 0.0000 0.0000
Zn1 0.3333 0.6667 0.3349
H1 0.1693 0.3385 0.6604
H2 0.3333 0.6667 0.0849
Ir1 0.0000 0.0000 0.5000
# VASP energy   -41.69 eV/cell

***

Number 1: V 15.8 Å³ per atom, magnetic moment 0.0 μB per formula unit. Number 2: V 32.5 Å³ per atom, magnetic moment 0.0 μB per formula unit. Number 3: V 26.4 Å³ per atom, magnetic moment 0.0 μB per formula unit. Number 4: V 9.7 Å³ per atom, magnetic moment 0.0 μB per formula unit.